{
  "formula": "Ac2MgAl3In4",
  "functional": "GGA-PBE",
  "state": "relaxed",
  "cell": [[4.740, 0.000, 0.000], [0.000, 4.740, 0.000], [0.000, 0.000, 11.624]],
  "species": ["Ac", "Ac", "Mg", "Al", "Al", "Al", "In", "In", "In", "In"],
  "frac_coords": [[0.000, 0.500, 0.245], [0.500, 0.000, 0.755], [0.000, 0.000, 0.500], [0.000, 0.500, 0.867], [0.500, 0.000, 0.133], [0.500, 0.500, 0.500], [0.000, 0.000, 0.000], [0.000, 0.500, 0.637], [0.500, 0.000, 0.363], [0.500, 0.500, 0.000]],
  "spacegroup": "P-4m2 (115)",
  "final_energy_ev_per_atom": -3.4840,
  "formation_enthalpy_0k_kj_per_mol_atoms": -27
}